Compound: Sc2Tl
Source: Alexandria via LeMat-Bulk
Functional: SCAN
Structure: PBEsol geometry

Results
D(E_F) = 2.411 states/eV/f.u.
ΔE_f = -0.390 eV per atom

Lattice parameters (Å, degrees): 9.2520 9.2520 9.2520 60.00 60.00 60.00
Closest atoms and distances in Å follow each position.
Fractional positions:
Sc1 0.0000 0.0000 0.0000  6 Tl 2.93
Sc2 0.0000 0.0000 0.5000  6 Tl 2.93
Sc3 0.0000 0.5000 0.0000  6 Tl 2.93
Sc4 0.1868 0.1868 0.5632  2 Tl 2.90
Sc5 0.1868 0.5632 0.1868  2 Tl 2.90
Sc6 0.1868 0.5632 0.5632  2 Tl 2.90
Sc7 0.4368 0.4368 0.8132  2 Tl 2.90
Sc8 0.4368 0.8132 0.4368  2 Tl 2.90
Sc9 0.4368 0.8132 0.8132  2 Tl 2.90
Sc10 0.5000 0.0000 0.0000  6 Tl 2.93
Sc11 0.5632 0.1868 0.1868  2 Tl 2.90
Sc12 0.5632 0.1868 0.5632  2 Tl 2.90
Sc13 0.5632 0.5632 0.1868  2 Tl 2.90
Sc14 0.8132 0.4368 0.4368  2 Tl 2.90
Sc15 0.8132 0.4368 0.8132  2 Tl 2.90
Sc16 0.8132 0.8132 0.4368  2 Tl 2.90
Tl1 0.1601 0.7800 0.7800  6 Sc 2.90-2.93
Tl2 0.2200 0.2200 0.2200  6 Sc 2.90-2.93
Tl3 0.2200 0.2200 0.8399  6 Sc 2.90-2.93
Tl4 0.2200 0.8399 0.2200  6 Sc 2.90-2.93
Tl5 0.7800 0.1601 0.7800  6 Sc 2.90-2.93
Tl6 0.7800 0.7800 0.1601  6 Sc 2.90-2.93
Tl7 0.7800 0.7800 0.7800  6 Sc 2.90-2.93
Tl8 0.8399 0.2200 0.2200  6 Sc 2.90-2.93

---

Compound: Sc2Tl
Source: Alexandria via LeMat-Bulk
Functional: SCAN
Structure: PBEsol geometry

Results
D(E_F) = 2.650 states/eV/f.u.
ΔE_f = -0.493 eV per atom

Lattice parameters (Å, degrees): 4.9838 4.9838 6.2034 90.00 90.00 120.00
Closest atoms and distances in Å follow each position.
Fractional positions:
Sc1 0.0000 0.0000 0.0000  8 Sc 3.10-3.27, 6 Tl 3.27
Sc2 0.0000 0.0000 0.5000  8 Sc 3.10-3.27, 6 Tl 3.27
Sc3 0.3333 0.6667 0.2500  5 Tl 2.88-3.10
Sc4 0.6667 0.3333 0.7500  5 Tl 2.88-3.10
Tl1 0.3333 0.6667 0.7500  5 Sc 2.88-3.10
Tl2 0.6667 0.3333 0.2500  5 Sc 2.88-3.10

---

Compound: ScTl8
Source: Alexandria via LeMat-Bulk
Functional: SCAN
Structure: PBEsol geometry

Results
D(E_F) = 4.595 states/eV/f.u.
ΔE_f = 0.010 eV per atom

Lattice parameters (Å, degrees): 7.4919 7.4919 7.4919 95.71 95.71 143.24
Closest atoms and distances in Å follow each position.
Fractional positions:
Sc1 0.0000 0.0000 0.0000  12 Tl 3.31-3.32
Tl1 0.0000 0.3296 0.3296  1 Sc 3.31, 11 Tl 3.33-3.43
Tl2 0.0000 0.6704 0.6704  1 Sc 3.31, 11 Tl 3.33-3.43
Tl3 0.3296 0.0000 0.3296  1 Sc 3.31, 11 Tl 3.33-3.43
Tl4 0.3361 0.3361 0.6721  10 Tl 3.30-3.40, 2 Sc 3.32
Tl5 0.3361 0.6639 0.0000  10 Tl 3.30-3.40, 2 Sc 3.32
Tl6 0.6639 0.3361 0.0000  10 Tl 3.30-3.40, 2 Sc 3.32
Tl7 0.6639 0.6639 0.3279  10 Tl 3.30-3.40, 2 Sc 3.32
Tl8 0.6704 0.0000 0.6704  1 Sc 3.31, 11 Tl 3.33-3.43

---

Compound: ScTl5
Source: Alexandria via LeMat-Bulk
Functional: SCAN
Structure: PBEsol geometry

Results
D(E_F) = 3.594 states/eV/f.u.
ΔE_f = -0.050 eV per atom

Lattice parameters (Å, degrees): 5.3066 8.3876 8.3876 24.64 90.00 90.00
Closest atoms and distances in Å follow each position.
Fractional positions:
Sc1 0.0000 0.0000 0.0000  10 Tl 3.19-3.42
Tl1 0.0000 0.3387 0.3387  2 Sc 3.19, 8 Tl 3.26-3.42
Tl2 0.0000 0.6611 0.6611  2 Sc 3.19, 8 Tl 3.24-3.51
Tl3 0.5000 0.1321 0.1321  8 Tl 3.19-3.30, 2 Sc 3.42
Tl4 0.5000 0.4708 0.4708  6 Tl 3.19-3.42, 4 Sc 3.24
Tl5 0.5000 0.8010 0.8010  12 Tl 3.26-3.58

---

| no. | electronic total energy (eV per cell) |
| --- | --- |
| 1 | -816.01 |
| 2 | -204.62 |
| 3 | -593.01 |
| 4 | -376.33 |